The following is a PBE calculation of an optimized crystal structure of SrYCuTeSe2, from OQMD via LeMat-Bulk.

Unit cell a=4.124 b=14.264 c=11.026 alpha=90.00 beta=90.00 gamma=90.00
Space group Cmcm (No. 63)
One atom of each set of equivalent atoms:
Sr 0.000 0.223 0.250 (multiplicity 4)
Y 0.000 0.000 0.000 (multiplicity 4)
Cu 0.000 0.475 0.750 (multiplicity 4)
Te 0.000 0.092 0.750 (multiplicity 4)
Se 0.000 0.370 0.572 (multiplicity 8)

Output
Its total magnetization is 0.0 μB/f.u. The value obtained for the electronic total energy is -122.22 eV for the cell shown.

The following is a PBE calculation of an optimized crystal structure of SrTmCuSe3, from OQMD via LeMat-Bulk.

Unit cell a=7.959 b=4.044 c=9.714 alpha=90.00 beta=105.89 gamma=90.00
Space group P2_1/m (No. 11)
One atom of each set of equivalent atoms:
Sr 0.239 0.250 0.291 (multiplicity 2)
Tm 0.308 0.750 0.841 (multiplicity 2)
Cu 0.078 0.250 0.590 (multiplicity 2)
Se 0.065 0.250 0.841 (multiplicity 2)
Se 0.249 0.750 0.542 (multiplicity 2)
Se 0.435 0.750 0.146 (multiplicity 2)

Output
Its total magnetization is 0.0 μB/f.u. The value obtained for the electronic total energy is -59.00 eV for the cell shown.

The following is a PBE calculation of an optimized crystal structure of SrYCuSe3, from OQMD via LeMat-Bulk.

Unit cell a=8.430 b=4.078 c=9.174 alpha=90.00 beta=104.11 gamma=90.00
Space group P2_1/m (No. 11)
One atom of each set of equivalent atoms:
Sr 0.200 0.250 0.252 (multiplicity 2)
Y 0.319 0.750 0.837 (multiplicity 2)
Cu 0.080 0.250 0.586 (multiplicity 2)
Se 0.090 0.250 0.860 (multiplicity 2)
Se 0.228 0.750 0.520 (multiplicity 2)
Se 0.439 0.750 0.162 (multiplicity 2)

Output
Its total magnetization is 0.0 μB/f.u. The value obtained for the electronic total energy is -63.23 eV for the cell shown.

The following is a PBE calculation of an optimized crystal structure of Ta3CuSe5, from OQMD via LeMat-Bulk.

Unit cell a=5.7776 b=5.7776 c=7.6043 alpha=90.00 beta=90.00 gamma=120.00
Space group P6/mmm (No. 191)
One atom of each set of equivalent atoms:
Ta 0.0000 0.5000 0.0000 (multiplicity 3)
Cu 0.0000 0.0000 0.5000 (multiplicity 1)
Se 0.0000 0.0000 0.0000 (multiplicity 1)
Se 0.3333 0.6667 0.2672 (multiplicity 4)

Output
Its total magnetization is 0.0 μB/f.u. The value obtained for the electronic total energy is -58.23 eV for the cell shown.

The following is a PBE calculation of an optimized crystal structure of TaCu3Te2Se2, from OQMD via LeMat-Bulk.

Unit cell a=8.160 b=8.361 c=5.818 alpha=90.00 beta=90.00 gamma=90.00
Space group Cmm2 (No. 35)
One atom of each set of equivalent atoms:
Ta 0.000 0.000 0.000 (multiplicity 2)
Cu 0.000 0.000 0.494 (multiplicity 2)
Cu 0.250 0.250 0.006 (multiplicity 4)
Te 0.233 0.500 0.736 (multiplicity 4)
Se 0.000 0.240 0.244 (multiplicity 4)

Output
Its total magnetization is 0.0 μB/f.u. The value obtained for the electronic total energy is -78.82 eV for the cell shown.

The following is a PBE calculation of an optimized crystal structure of TaTlCuTe2Se, from OQMD via LeMat-Bulk.

Unit cell a=3.830 b=15.784 c=10.079 alpha=90.00 beta=90.00 gamma=90.00
Space group Cmcm (No. 63)
One atom of each set of equivalent atoms:
Ta 0.000 0.000 0.000 (multiplicity 4)
Tl 0.000 0.260 0.250 (multiplicity 4)
Cu 0.000 0.469 0.750 (multiplicity 4)
Te 0.000 0.370 0.546 (multiplicity 8)
Se 0.000 0.063 0.750 (multiplicity 4)

Output
Its total magnetization is 0.5 μB/f.u. The value obtained for the electronic total energy is -117.41 eV for the cell shown.

The following is a PBE calculation of an optimized crystal structure of TaTlCu2Se4, from OQMD via LeMat-Bulk.

Unit cell a=7.680 b=18.967 c=5.705 alpha=90.00 beta=90.00 gamma=90.00
Space group Ama2 (No. 40)
One atom of each set of equivalent atoms:
Ta 0.250 0.111 0.000 (multiplicity 4)
Tl 0.250 0.316 0.261 (multiplicity 4)
Cu 0.000 0.000 0.022 (multiplicity 4)
Cu 0.250 0.108 0.500 (multiplicity 4)
Se 0.009 0.390 0.747 (multiplicity 8)
Se 0.250 0.004 0.754 (multiplicity 4)
Se 0.250 0.214 0.750 (multiplicity 4)

Output
Its total magnetization is 0.0 μB/f.u. The value obtained for the electronic total energy is -159.44 eV for the cell shown.

The following is a PBE calculation of an optimized crystal structure of TbCuSe2, from OQMD via LeMat-Bulk.

Unit cell a=6.629 b=7.340 c=7.083 alpha=90.00 beta=96.28 gamma=90.00
Space group P2_1/c (No. 14)
One atom of each set of equivalent atoms:
Tb 0.196 0.043 0.300 (multiplicity 4)
Cu 0.424 0.658 0.454 (multiplicity 4)
Se 0.071 0.724 0.497 (multiplicity 4)
Se 0.400 0.112 0.718 (multiplicity 4)

Output
Its total magnetization is 0.0 μB/f.u. The value obtained for the electronic total energy is -80.91 eV for the cell shown.

The following is a PBE calculation of an optimized crystal structure of TbCu2TeSe2, from OQMD via LeMat-Bulk.

Unit cell a=21.047 b=4.089 c=7.288 alpha=90.00 beta=100.66 gamma=90.00
Space group C2/m (No. 12)
One atom of each set of equivalent atoms:
Tb 0.141 0.000 0.014 (multiplicity 4)
Cu 0.050 0.500 0.168 (multiplicity 4)
Cu 0.206 0.000 0.414 (multiplicity 4)
Te 0.249 0.500 0.233 (multiplicity 4)
Se 0.067 0.500 0.836 (multiplicity 4)
Se 0.089 0.000 0.341 (multiplicity 4)

Output
Its total magnetization is 0.0 μB/f.u. The value obtained for the electronic total energy is -106.35 eV for the cell shown.

The following is a PBE calculation of an optimized crystal structure of TbTlCu3Se4, from OQMD via LeMat-Bulk.

Unit cell a=6.225 b=6.225 c=6.225 alpha=90.00 beta=90.00 gamma=90.00
Space group P-43m (No. 215)
One atom of each set of equivalent atoms:
Tb 0.000 0.000 0.000 (multiplicity 1)
Tl 0.500 0.500 0.500 (multiplicity 1)
Cu 0.000 0.000 0.500 (multiplicity 3)
Se 0.243 0.243 0.757 (multiplicity 4)

Output
Its total magnetization is 0.0 μB/f.u. The calculation puts the energy above the most stable polymorph in this dataset at 155 meV per atom. The value obtained for the electronic total energy is -35.65 eV for the cell shown.

The following is a PBE calculation of an optimized crystal structure of TbTlCu3Se4, from OQMD via LeMat-Bulk.

Unit cell a=6.017 b=7.274 c=10.245 alpha=90.00 beta=105.38 gamma=90.00
Space group P2_1/m (No. 11)
One atom of each set of equivalent atoms:
Tb 0.078 0.250 0.306 (multiplicity 2)
Tl 0.198 0.250 0.923 (multiplicity 2)
Cu 0.299 0.564 0.523 (multiplicity 4)
Cu 0.448 0.750 0.766 (multiplicity 2)
Se 0.043 0.250 0.572 (multiplicity 2)
Se 0.249 0.750 0.936 (multiplicity 2)
Se 0.384 0.526 0.290 (multiplicity 4)

Output
Its total magnetization is 0.0 μB/f.u. The calculation puts the energy above the most stable polymorph in this dataset at 0 meV per atom. The value obtained for the electronic total energy is -74.10 eV for the cell shown.

The following is a PBE calculation of an optimized crystal structure of TbYCu2Se4, from OQMD via LeMat-Bulk.

Unit cell a=9.250 b=9.261 c=4.418 alpha=90.00 beta=90.00 gamma=90.00
Space group Cmm2 (No. 35)
One atom of each set of equivalent atoms:
Tb 0.000 0.000 0.000 (multiplicity 2)
Y 0.000 0.500 0.537 (multiplicity 2)
Cu 0.250 0.250 0.770 (multiplicity 4)
Se 0.000 0.301 0.022 (multiplicity 4)
Se 0.200 0.000 0.516 (multiplicity 4)

Output
Its total magnetization is 0.0 μB/f.u. The value obtained for the electronic total energy is -83.81 eV for the cell shown.

The following is a PBE calculation of an optimized crystal structure of Cu3TcSe4, from OQMD via LeMat-Bulk.

Unit cell a=5.665 b=5.665 c=5.665 alpha=90.00 beta=90.00 gamma=90.00
Space group P-43m (No. 215)
One atom of each set of equivalent atoms:
Cu 0.000 0.000 0.500 (multiplicity 3)
Tc 0.000 0.000 0.000 (multiplicity 1)
Se 0.247 0.247 0.247 (multiplicity 4)

Output
Its total magnetization is 2.0 μB/f.u. The value obtained for the electronic total energy is -36.94 eV for the cell shown.

The following is a PBE calculation of an optimized crystal structure of CuTc2Se4, from OQMD via LeMat-Bulk.

Unit cell a=10.381 b=10.381 c=10.381 alpha=90.00 beta=90.00 gamma=90.00
Space group Fd-3m (No. 227, origin choice 2)
One atom of each set of equivalent atoms:
Cu 0.125 0.125 0.125 (multiplicity 8)
Tc 0.000 0.000 0.500 (multiplicity 16)
Se 0.006 0.006 0.744 (multiplicity 32)

Output
Its total magnetization is 3.5 μB/f.u. The value obtained for the electronic total energy is -315.88 eV for the cell shown.

The following is a PBE calculation of an optimized crystal structure of Cu2TcSe4, from OQMD via LeMat-Bulk.

Unit cell a=5.581 b=5.581 c=5.809 alpha=90.00 beta=90.00 gamma=90.00
Space group P-42m (No. 111)
One atom of each set of equivalent atoms:
Cu 0.000 0.500 0.000 (multiplicity 2)
Tc 0.000 0.000 0.000 (multiplicity 1)
Se 0.240 0.240 0.758 (multiplicity 4)

Output
Its total magnetization is 1.0 μB/f.u. The value obtained for the electronic total energy is -33.11 eV for the cell shown.

The following is a PBE calculation of an optimized crystal structure of CuTcSe4, from OQMD via LeMat-Bulk.

Unit cell a=5.102 b=3.779 c=6.109 alpha=90.00 beta=90.57 gamma=90.00
Space group P2/m (No. 10)
One atom of each set of equivalent atoms:
Cu 0.000 0.000 0.000 (multiplicity 1)
Tc 0.500 0.500 0.500 (multiplicity 1)
Se 0.206 0.000 0.383 (multiplicity 2)
Se 0.309 0.500 0.874 (multiplicity 2)

Output
Its total magnetization is 0.0 μB/f.u. The value obtained for the electronic total energy is -29.19 eV for the cell shown.

The following is a PBE calculation of an optimized crystal structure of TlCuTcTe2Se, from OQMD via LeMat-Bulk.

Unit cell a=3.820 b=15.382 c=9.913 alpha=90.00 beta=90.00 gamma=90.00
Space group Cmcm (No. 63)
One atom of each set of equivalent atoms:
Tl 0.000 0.243 0.250 (multiplicity 4)
Cu 0.000 0.028 0.750 (multiplicity 4)
Tc 0.000 0.500 0.000 (multiplicity 4)
Te 0.000 0.127 0.543 (multiplicity 8)
Se 0.000 0.434 0.750 (multiplicity 4)

Output
Its total magnetization is 1.7 μB/f.u. The value obtained for the electronic total energy is -106.44 eV for the cell shown.

The following is a PBE calculation of an optimized crystal structure of TlCuTcTeSe2, from OQMD via LeMat-Bulk.

Unit cell a=3.693 b=15.601 c=10.104 alpha=90.00 beta=90.00 gamma=90.00
Space group Cmcm (No. 63)
One atom of each set of equivalent atoms:
Tl 0.000 0.228 0.250 (multiplicity 4)
Cu 0.000 0.459 0.750 (multiplicity 4)
Tc 0.000 0.000 0.000 (multiplicity 4)
Te 0.000 0.077 0.750 (multiplicity 4)
Se 0.000 0.387 0.542 (multiplicity 8)

Output
Its total magnetization is 2.0 μB/f.u. The value obtained for the electronic total energy is -109.76 eV for the cell shown.

The following is a PBE calculation of an optimized crystal structure of CuTeSe, from OQMD via LeMat-Bulk.

Unit cell a=12.022 b=4.173 c=6.125 alpha=90.00 beta=90.00 gamma=90.00
Space group Pnma (No. 62)
One atom of each set of equivalent atoms:
Cu 0.144 0.250 0.198 (multiplicity 4)
Te 0.187 0.750 0.964 (multiplicity 4)
Se 0.039 0.750 0.660 (multiplicity 4)

Output
The value obtained for the electronic total energy is -41.34 eV for the cell shown.

The following is a PBE calculation of an optimized crystal structure of TlCu2TeSe, from OQMD via LeMat-Bulk.

Unit cell a=3.910 b=3.910 c=14.820 alpha=90.00 beta=90.00 gamma=90.00
Space group I4mm (No. 107)
One atom of each set of equivalent atoms:
Tl 0.000 0.000 0.000 (multiplicity 2)
Cu 0.000 0.500 0.227 (multiplicity 4)
Te 0.000 0.000 0.346 (multiplicity 2)
Se 0.000 0.000 0.624 (multiplicity 2)

Output
The value obtained for the electronic total energy is -34.98 eV for the cell shown.